# 1
# TaAgMo2

An optimized crystal structure of TaAgMo2 (PBE, Alexandria).

Calculated values
- polymorph energy (0 for the lowest one) (meV/atom) = 213.4
- magnetization (μB/atom) = 0.000

Lattice parameters (Å, degrees): 2.641 4.446 5.775 90.00 90.00 90.00
Element x y z (fractional)
Mo  0.000  0.000  0.496
Mo  0.000  0.000  0.004
Ta  0.500  0.500  0.250
Ag  0.500  0.500  0.750

=====

# 2
# SnHgBr2F

An optimized crystal structure of SnHgBr2F (PBE, Alexandria).

Calculated values
- formation energy without anion corrections (eV/atom) = -0.877
- magnetization (μB/atom) = 0.000

Lattice parameters (Å, degrees): 5.734 5.734 4.439 90.00 90.00 90.00
Element x y z (fractional)
Hg  0.500  0.500  0.500
Br  0.500  0.000  0.000
F  0.000  0.000  0.500
Br  0.000  0.500  0.000
Sn  0.000  0.000  0.000

=====

# 3
# Te2WC

An optimized crystal structure of Te2WC (PBE, Alexandria).

Calculated values
- formation energy without anion corrections (eV/atom) = 3.074
- magnetization (μB/atom) = 1.000

Lattice parameters (Å, degrees): 14.944 14.944 14.944 33.44 33.44 33.44
Each line ends with the local moment (μB).
Element x y z (fractional)
Te  0.045  0.045  0.045  0.00
Te  0.955  0.955  0.955  0.00
W  0.500  0.500  0.500  2.98
C  0.000  0.000  0.000  0.00

=====

Question: magnetization of number 3 (Te2WC)?
Answer: 1.000 μB/atom